(1)
# Tl5BSe6, relaxed, DFT PBE
data_Tl5BSe6
_space_group_name_H-M_alt 'C 1 2/m 1'
_space_group_IT_number 12
_space_group_name_Hall '-C 2y'
_cell_length_a 7.0521
_cell_length_b 15.2330
_cell_length_c 7.9274
_cell_angle_alpha 90.00
_cell_angle_beta 98.16
_cell_angle_gamma 90.00
loop_
_atom_site_label
_atom_site_type_symbol
_atom_site_fract_x
_atom_site_fract_y
_atom_site_fract_z
Tl1 Tl 0.0000 0.0000 0.0000
Tl2 Tl 0.0000 0.1757 0.5000
Tl3 Tl 0.0000 0.2634 0.0000
B1 B 0.0000 0.5000 0.5000
Se1 Se 0.2040 0.5000 0.3817
Se2 Se 0.2367 0.3372 0.8001
# - Formation energy from raw total energies: -0.1778 eV per atom
# - V: 843.0 Å³ per cell



(2)
# Ca5Hg2Rh, relaxed, DFT PBE
data_Ca5Hg2Rh
_space_group_name_H-M_alt 'P b a m'
_space_group_IT_number 55
_space_group_name_Hall '-P 2 2ab'
_cell_length_a 8.0649
_cell_length_b 12.7197
_cell_length_c 4.6118
_cell_angle_alpha 90.00
_cell_angle_beta 90.00
_cell_angle_gamma 90.00
loop_
_atom_site_label
_atom_site_type_symbol
_atom_site_fract_x
_atom_site_fract_y
_atom_site_fract_z
Ca1 Ca 0.0000 0.0000 0.0000
Ca2 Ca 0.1488 0.3029 0.0000
Ca3 Ca 0.1744 0.5773 0.5000
Hg1 Hg 0.0597 0.8314 0.5000
Rh1 Rh 0.0000 0.5000 0.0000
# - V: 473.1 Å³ per cell
# - E: -2.667 eV/atom



(3)
# Pm2SnBi, relaxed, DFT PBE
data_Pm2SnBi
_space_group_name_H-M_alt 'F m -3 m'
_space_group_IT_number 225
_space_group_name_Hall '-F 4 2 3'
_cell_length_a 7.8493
_cell_length_b 7.8493
_cell_length_c 7.8493
_cell_angle_alpha 90.00
_cell_angle_beta 90.00
_cell_angle_gamma 90.00
loop_
_atom_site_label
_atom_site_type_symbol
_atom_site_fract_x
_atom_site_fract_y
_atom_site_fract_z
Pm1 Pm 0.2500 0.2500 0.2500
Sn1 Sn 0.0000 0.0000 0.0000
Bi1 Bi 0.0000 0.0000 0.5000
# - Offset from the most stable computed form: 255.4 meV/atom
# - V: 483.6 Å³ per cell



(4)
# InO, relaxed, DFT PBE
data_InO
_space_group_name_H-M_alt 'P 42/m n m'
_space_group_IT_number 136
_space_group_name_Hall '-P 4n 2n'
_cell_length_a 6.3244
_cell_length_b 6.3244
_cell_length_c 3.7573
_cell_angle_alpha 90.00
_cell_angle_beta 90.00
_cell_angle_gamma 90.00
loop_
_atom_site_label
_atom_site_type_symbol
_atom_site_fract_x
_atom_site_fract_y
_atom_site_fract_z
In1 In 0.1858 0.1858 0.0000
O1 O 0.1756 0.8244 0.0000
# - Formation energy from raw total energies: -0.9919 eV per atom
# - V: 150.3 Å³ per cell



(5)
# Sc2AlCl, relaxed, DFT PBE
data_Sc2AlCl
_space_group_name_H-M_alt 'C m m m'
_space_group_IT_number 65
_space_group_name_Hall '-C 2 2'
_cell_length_a 3.6485
_cell_length_b 5.2417
_cell_length_c 8.4528
_cell_angle_alpha 90.00
_cell_angle_beta 90.00
_cell_angle_gamma 90.00
loop_
_atom_site_label
_atom_site_type_symbol
_atom_site_fract_x
_atom_site_fract_y
_atom_site_fract_z
Sc1 Sc 0.0000 0.0000 0.2474
Al1 Al 0.0000 0.5000 0.5000
Cl1 Cl 0.0000 0.5000 0.0000
# - Offset from the most stable computed form: 195.3 meV/atom
# - Formation energy from raw total energies: -0.6089 eV per atom
# - V: 161.7 Å³ per cell



(6)
# Nd3CoBi, relaxed, DFT PBE
data_Nd3CoBi
_space_group_name_H-M_alt 'P m -3 m'
_space_group_IT_number 221
_space_group_name_Hall '-P 4 2 3'
_cell_length_a 5.3081
_cell_length_b 5.3081
_cell_length_c 5.3081
_cell_angle_alpha 90.00
_cell_angle_beta 90.00
_cell_angle_gamma 90.00
loop_
_atom_site_label
_atom_site_type_symbol
_atom_site_fract_x
_atom_site_fract_y
_atom_site_fract_z
Nd1 Nd 0.0000 0.0000 0.5000
Co1 Co 0.0000 0.0000 0.0000
Bi1 Bi 0.5000 0.5000 0.5000
# - Offset from the most stable computed form: 83.5 meV/atom
# - V: 149.6 Å³ per cell